A plane-wave DFT calculation with GGA-PBE was carried out for a relaxed structure of MnAgCl2.

Calculated values
V = 27.3 A^3/atom
crystal system = trigonal
electronic total energy = -17.6 eV per formula unit
symmetry = R-3m (166)
excess energy over the best structure of this formula in the dataset = 0 meV per atom
magnetization = 4.958 μB/f.u.
formation energy without anion corrections = -478 meV/atom

Cell lengths 10.606, 10.606, 10.606 Å; angles 18.87, 18.87, 18.87 degrees
Element x y z (fractional)
Mn 0.250 0.250 0.250
Ag 0.750 0.750 0.750
Cl 0.965 0.965 0.965
Cl 0.535 0.535 0.535



A plane-wave DFT calculation with GGA-PBE was carried out for a relaxed structure of In3GaSb.

Calculated values
V = 39.5 A^3/atom
crystal system = cubic
electronic total energy = -12.6 eV per formula unit
symmetry = Pm-3m (221)
excess energy over the best structure of this formula in the dataset = 298 meV per atom
magnetization = 0.000 μB/f.u.
formation energy without anion corrections = 557 meV/atom

Cell lengths 5.823, 5.823, 5.823 Å; angles 90.00, 90.00, 90.00 degrees
Element x y z (fractional)
Sb 0.000 0.000 0.000
Ga 0.500 0.500 0.500
In 0.000 0.500 0.000
In 0.000 0.000 0.500
In 0.500 0.000 0.000



A plane-wave DFT calculation with GGA-PBE was carried out for a relaxed structure of Na2CaSn2Au2.

Calculated values
V = 23.6 A^3/atom
crystal system = trigonal
energy relative to the elements = -3.43 eV per formula unit
electronic total energy = -22.6 eV per formula unit
symmetry = R-3m (166)
magnetization = 0.000 μB/f.u.

Cell lengths 4.893, 4.893, 8.456 Å; angles 73.18, 73.18, 60.00 degrees
Element x y z (fractional)
Na 0.142 0.142 0.575
Na 0.858 0.858 0.425
Ca 0.000 0.000 0.000
Sn 0.591 0.591 0.227
Sn 0.409 0.409 0.773
Au 0.732 0.732 0.804
Au 0.268 0.268 0.196



A plane-wave DFT calculation with GGA-PBE was carried out for a relaxed structure of K2P3Pb.

Calculated values
V = 28.5 A^3/atom
crystal system = orthorhombic
energy relative to the elements = -0.55 eV per formula unit
electronic total energy = -22.7 eV per formula unit
symmetry = Cmc2_1 (36)
magnetization = 0.000 μB/f.u.

Cell lengths 9.109, 9.109, 4.622 Å; angles 90.00, 90.00, 116.75 degrees
Element x y z (fractional)
Pb 0.140 0.140 0.235
Pb 0.860 0.860 0.735
P 0.448 0.448 0.220
P 0.552 0.552 0.720
P 0.167 0.845 0.987
P 0.833 0.155 0.487
P 0.155 0.833 0.487
P 0.845 0.167 0.987
K 0.510 0.823 0.222
K 0.490 0.177 0.722
K 0.177 0.490 0.722
K 0.823 0.510 0.222



A plane-wave DFT calculation with GGA-PBE was carried out for a relaxed structure of CoBr3.

Calculated values
V = 31.5 A^3/atom
crystal system = tetragonal
electronic total energy = -11.8 eV per formula unit
symmetry = I-42d (122)
magnetization = 4.000 μB/f.u.
formation energy without anion corrections = 78 meV/atom

Cell lengths 7.234, 7.234, 7.028 Å; angles 59.02, 59.02, 90.00 degrees
Element x y z (fractional)
Co 0.500 0.500 0.000
Co 0.250 0.750 0.500
Br 0.512 0.125 0.250
Br 0.238 0.625 0.250
Br 0.375 0.488 0.750
Br 0.875 0.762 0.750
Br 0.000 0.000 0.000
Br 0.750 0.250 0.500



Question: Among the records above, which one has the highest V?
Answer: In3GaSb



Copy entry 4 word for word.
A plane-wave DFT calculation with GGA-PBE was carried out for a relaxed structure of K2P3Pb.

Calculated values
V = 28.5 A^3/atom
crystal system = orthorhombic
energy relative to the elements = -0.55 eV per formula unit
electronic total energy = -22.7 eV per formula unit
symmetry = Cmc2_1 (36)
magnetization = 0.000 μB/f.u.

Cell lengths 9.109, 9.109, 4.622 Å; angles 90.00, 90.00, 116.75 degrees
Element x y z (fractional)
Pb 0.140 0.140 0.235
Pb 0.860 0.860 0.735
P 0.448 0.448 0.220
P 0.552 0.552 0.720
P 0.167 0.845 0.987
P 0.833 0.155 0.487
P 0.155 0.833 0.487
P 0.845 0.167 0.987
K 0.510 0.823 0.222
K 0.490 0.177 0.722
K 0.177 0.490 0.722
K 0.823 0.510 0.222



Question: Among the records above, which one has the lowest V?
Answer: Na2CaSn2Au2